DFT (PBE-GGA) results for a relaxed structure of PmNd9Sm2.

Results
Calculated total energy = -4.745 eV/atom
E_form = 14 meV per atom

Lattice parameters (Å, degrees): 5.186 5.186 15.561 90.00 90.00 90.00
Fractional coordinates of all 12 atoms:
Pm 0.000 0.000 0.000
Nd 0.000 0.500 0.167
Nd 0.000 0.500 0.500
Nd 0.000 0.500 0.833
Nd 0.500 0.000 0.167
Nd 0.500 0.000 0.500
Nd 0.500 0.000 0.833
Nd 0.500 0.500 0.000
Nd 0.500 0.500 0.334
Nd 0.500 0.500 0.666
Sm 0.000 0.000 0.333
Sm 0.000 0.000 0.667

***

DFT (PBE-GGA) results for a relaxed structure of BeVSnRh2.

Results
Calculated total energy = -5.638 eV/atom
E_form = 672 meV per atom

Lattice parameters (Å, degrees): 4.510 4.510 4.347 90.00 90.00 90.00
Fractional coordinates of all 5 atoms:
Be 0.000 0.000 0.000
V 0.000 0.000 0.500
Sn 0.500 0.500 0.000
Rh 0.000 0.500 0.500
Rh 0.500 0.000 0.500

***

DFT (PBE-GGA) results for a relaxed structure of ReRh2W.

Results
Calculated total energy = -10.142 eV/atom
E_form = -116 meV per atom

Lattice parameters (Å, degrees): 2.724 3.960 5.463 90.00 90.00 90.00
Fractional coordinates of all 4 atoms:
Re 0.000 0.000 0.000
Rh 0.500 0.500 0.247
Rh 0.500 0.500 0.753
W 0.000 0.000 0.500

***

DFT (PBE-GGA) results for a relaxed structure of RbCaIn2.

Results
Calculated total energy = -2.299 eV/atom
E_form = -187 meV per atom

Lattice parameters (Å, degrees): 3.990 3.990 8.876 90.00 90.00 90.00
Fractional coordinates of all 4 atoms:
Rb 0.000 0.000 0.000
Ca 0.000 0.000 0.500
In 0.500 0.500 0.307
In 0.500 0.500 0.693

***

DFT (PBE-GGA) results for a relaxed structure of KMnOs2.

Results
Calculated total energy = -6.752 eV/atom
E_form = 1430 meV per atom

Lattice parameters (Å, degrees): 4.550 4.550 4.550 60.00 60.00 60.00
Fractional coordinates of all 4 atoms:
K 0.000 0.000 0.000
Mn 0.750 0.750 0.750
Os 0.250 0.250 0.250
Os 0.500 0.500 0.500

***

DFT (PBE-GGA) results for a relaxed structure of PmInAgGe.

Results
Calculated total energy = -4.015 eV/atom
E_form = -275 meV per atom

Lattice parameters (Å, degrees): 5.070 5.070 5.070 60.00 60.00 60.00
Fractional coordinates of all 4 atoms:
Pm 0.000 0.000 0.000
In 0.500 0.500 0.500
Ag 0.250 0.250 0.250
Ge 0.750 0.750 0.750

***

DFT (PBE-GGA) results for a relaxed structure of Fe2CuCl.

Results
Calculated total energy = -5.432 eV/atom
ΔE_f (raw) = 285.0 meV per atom

Lattice parameters (Å, degrees): 2.803 2.803 7.862 90.00 90.00 90.00
Fractional coordinates of all 4 atoms:
Fe 0.000 0.000 0.000
Fe 0.500 0.500 0.233
Cu 0.500 0.500 0.801
Cl 0.000 0.000 0.427

***

DFT (PBE-GGA) results for a relaxed structure of Pr2Nd3Tl2.

Results
Calculated total energy = -4.215 eV/atom
E_form = -129 meV per atom

Lattice parameters (Å, degrees): 11.881 11.881 11.881 161.70 153.81 32.14
Fractional coordinates of all 7 atoms:
Pr 0.073 0.073 0.000
Pr 0.927 0.927 0.000
Nd 0.203 0.703 0.500
Nd 0.500 0.500 0.000
Nd 0.797 0.297 0.500
Tl 0.349 0.849 0.500
Tl 0.651 0.151 0.500

***

DFT (PBE-GGA) results for a relaxed structure of ZnCrAg.

Results
Calculated total energy = -4.266 eV/atom
E_form = 317 meV per atom

Lattice parameters (Å, degrees): 4.466 4.466 2.871 90.00 90.00 120.00
Fractional coordinates of all 3 atoms:
Zn 0.000 0.000 0.000
Cr 0.333 0.667 0.502
Ag 0.667 0.333 0.003

***

DFT (PBE-GGA) results for a relaxed structure of PaNiB2.

Results
Calculated total energy = -7.657 eV/atom
E_form = -499 meV per atom

Lattice parameters (Å, degrees): 5.845 3.585 9.154 90.00 90.00 90.00
Fractional coordinates of all 16 atoms:
Pa 0.130 0.250 0.126
Pa 0.370 0.750 0.626
Pa 0.630 0.250 0.374
Pa 0.870 0.750 0.874
Ni 0.126 0.250 0.433
Ni 0.374 0.750 0.933
Ni 0.626 0.250 0.067
Ni 0.874 0.750 0.567
B 0.028 0.250 0.673
B 0.227 0.250 0.819
B 0.273 0.750 0.319
B 0.472 0.750 0.173
B 0.528 0.250 0.827
B 0.727 0.250 0.681
B 0.773 0.750 0.181
B 0.972 0.750 0.327

***

DFT (PBE-GGA) results for a relaxed structure of PrCd7Ag5.

Results
Calculated total energy = -2.096 eV/atom
E_form = -139 meV per atom

Lattice parameters (Å, degrees): 7.566 7.566 7.566 136.23 97.38 98.59
Fractional coordinates of all 13 atoms:
Pr 0.000 0.000 0.000
Cd 0.210 0.505 0.706
Cd 0.223 0.723 0.500
Cd 0.349 0.349 0.000
Cd 0.356 0.009 0.347
Cd 0.658 0.658 0.000
Cd 0.663 0.009 0.653
Cd 0.799 0.505 0.294
Ag 0.005 0.006 0.499
Ag 0.005 0.507 0.999
Ag 0.508 0.006 0.001
Ag 0.508 0.507 0.501
Ag 0.790 0.290 0.500

***

DFT (PBE-GGA) results for a relaxed structure of Ge2BiBr.

Results
Calculated total energy = -3.397 eV/atom
ΔE_f (raw) = 299.7 meV per atom

Lattice parameters (Å, degrees): 7.828 7.828 7.828 126.47 126.47 79.11
Fractional coordinates of all 8 atoms:
Ge 0.120 0.625 0.995
Ge 0.375 0.370 0.495
Ge 0.630 0.125 0.005
Ge 0.875 0.880 0.505
Bi 0.000 0.000 0.000
Bi 0.750 0.250 0.500
Br 0.250 0.750 0.500
Br 0.500 0.500 0.000

***

| no. | N(E_F) (states/eV per cell) |
| --- | --- |
| 1 | 19.80 |
| 2 | 5.41 |
| 3 | 2.58 |
| 4 | 4.01 |
| 5 | 3.16 |
| 6 | 1.76 |
| 7 | 3.31 |
| 8 | 5.90 |
| 9 | 1.56 |
| 10 | 10.08 |
| 11 | 7.01 |
| 12 | 1.86 |